1.
DFT (GGA-PBEsol) results for a relaxed NaYCl4 crystal.

abc: 6.5263 6.6596 6.9368
angles: 88.86 87.89 78.67
With the nearest neighbours (Å) after each atom.
Space group P-1 (No. 2)
Asymmetric unit:
Na (0.2272, 0.1931, 0.0416)  6 Cl 2.74-2.97
Y (0.2096, 0.6998, 0.4453)  7 Cl 2.56-2.76
Cl (0.0501, 0.4977, 0.7436)  2 Y 2.73, 2 Na 2.86-2.97
Cl (0.0929, 0.9970, 0.7090)  2 Y 2.70-2.76, 1 Na 2.92
Cl (0.3919, 0.7871, 0.1304)  1 Y 2.56, 2 Na 2.74-2.77
Cl (0.4318, 0.3116, 0.3831)  2 Y 2.65-2.74, 1 Na 2.96

Properties
raw total energy	-58.02	eV per cell
energy relative to the elements, uncorrected	-2.1262	eV/atom
crystal system	triclinic


2.
DFT (GGA-PBEsol) results for a relaxed Nb3Cl8 crystal.

abc: 6.7101 6.7101 12.7265
angles: 90.00 90.00 120.00
With the nearest neighbours (Å) after each atom.
Space group P-3m1 (No. 164)
Asymmetric unit:
Nb (0.0546, 0.5273, 0.2542)  6 Cl 2.43-2.62
Cl (0.1645, 0.3290, 0.6399)  2 Nb 2.51
Cl (0.1683, 0.3367, 0.1254)  2 Nb 2.43
Cl (0.3333, 0.6667, 0.3970)  3 Nb 2.43
Cl (0.3333, 0.6667, 0.8509)  3 Nb 2.62

Properties
raw total energy	-125.73	eV per cell
energy relative to the elements, uncorrected	-1.3036	eV/atom
crystal system	trigonal


3.
DFT (GGA-PBEsol) results for a relaxed Nb3Cl7 crystal.

abc: 13.4913 12.3118 10.9353
angles: 90.00 90.00 90.00
With the nearest neighbours (Å) after each atom.
Space group Cmce (No. 64)
Asymmetric unit:
Nb (0.0000, 0.1378, 0.0995)  4 Cl 2.43
Nb (0.1090, 0.0638, 0.8872)  5 Cl 2.43-2.63
Cl (0.0000, 0.1518, 0.7311)  2 Nb 2.50
Cl (0.1248, 0.0914, 0.2505)  2 Nb 2.43-2.44
Cl (0.1255, 0.2401, 0.9891)  2 Nb 2.43-2.45
Cl (0.2474, 0.0000, 0.5000)  2 Nb 2.43
Cl (0.2500, 0.1459, 0.7500)  2 Nb 2.63

Properties
raw total energy	-474.05	eV per cell
energy relative to the elements, uncorrected	-1.2737	eV/atom
crystal system	orthorhombic


4.
DFT (GGA-PBEsol) results for a relaxed Nd3NbCl3O6 crystal.

abc: 9.3274 9.3274 5.2499
angles: 90.00 90.00 120.00
With the nearest neighbours (Å) after each atom.
Space group P6_3/m (No. 176)
Asymmetric unit:
Nd (0.0919, 0.4022, 0.2500)  6 O 2.39-2.58
Nb (0.3333, 0.6667, 0.7500)  6 O 2.00
Cl (0.0526, 0.2391, 0.7500)  4 Nd 2.95-2.99, 4 O 3.02-3.03
O (0.1556, 0.6381, 0.5085)  1 Nb 2.00

Properties
raw total energy	-200.26	eV per cell
energy relative to the elements, uncorrected	-2.7913	eV/atom
crystal system	hexagonal


5.
DFT (GGA-PBEsol) results for a relaxed NbNiS2Cl crystal.

abc: 4.7598 4.7598 4.7185
angles: 90.00 90.00 90.00
With the nearest neighbours (Å) after each atom.
Space group P4/mmm (No. 123)
Asymmetric unit:
Nb (0.0000, 0.0000, 0.0000)  2 Cl 2.36, 4 S 2.38
Ni (0.5000, 0.5000, 0.5000)  8 S 3.35, 4 Cl 3.37
S (0.0000, 0.5000, 0.0000)  2 Nb 2.38
Cl (0.0000, 0.0000, 0.5000)  2 Nb 2.36

Properties
raw total energy	-26.82	eV per cell
energy relative to the elements, uncorrected	0.1865	eV/atom
crystal system	tetragonal


6.
DFT (GGA-PBEsol) results for a relaxed Nb3ClO crystal.

abc: 4.2495 4.2495 4.2495
angles: 90.00 90.00 90.00
With the nearest neighbours (Å) after each atom.
Space group Pm-3m (No. 221)
Asymmetric unit:
Nb (0.0000, 0.0000, 0.5000)  2 O 2.12
Cl (0.5000, 0.5000, 0.5000)  12 Nb 3.00
O (0.0000, 0.0000, 0.0000)  6 Nb 2.12

Properties
raw total energy	-40.85	eV per cell
energy relative to the elements, uncorrected	-0.2253	eV/atom
crystal system	cubic


7.
DFT (GGA-PBEsol) results for a relaxed NbPCl8O crystal.

abc: 16.4490 8.2992 9.0726
angles: 90.00 90.00 90.00
With the nearest neighbours (Å) after each atom.
Space group Pnma (No. 62)
Asymmetric unit:
Nb (0.1507, 0.2500, 0.0924)  1 O 2.20, 5 Cl 2.28-2.38
P (0.0815, 0.2500, 0.7216)  1 O 1.49
Cl (0.0250, 0.2500, 0.2104)  1 Nb 2.33
Cl (0.0305, 0.7500, 0.3555)  1 P 1.97
Cl (0.1363, 0.0600, 0.6368)  1 P 1.97
Cl (0.1441, 0.5289, 0.0647)  1 Nb 2.33
Cl (0.2266, 0.2500, 0.3025)  1 Nb 2.28
Cl (0.2322, 0.7500, 0.4375)  1 Nb 2.38
O (0.0809, 0.2500, 0.8857)  1 P 1.49

Properties
raw total energy	-202.87	eV per cell
energy relative to the elements, uncorrected	-1.1630	eV/atom
crystal system	orthorhombic


8.
DFT (GGA-PBEsol) results for a relaxed NbPb2Se2ClO8 crystal.

abc: 8.5586 5.4178 10.7158
angles: 90.00 111.86 90.00
With the nearest neighbours (Å) after each atom.
Space group P2_1 (No. 4)
Asymmetric unit:
Nb (0.1586, 0.0000, 0.0679)  3 O 1.81-1.97
Pb (0.1881, 0.0013, 0.4782)  5 O 2.49-2.66
Pb (0.3162, 0.4576, 0.7931)  4 O 2.51-2.62
Se (0.0142, 0.0130, 0.7285)  3 O 1.72-1.75
Se (0.3795, 0.5036, 0.2061)  3 O 1.69-1.76
Cl (0.3486, 0.5198, 0.5365)  3 Pb 2.88-3.09, 1 O 3.15
O (0.0361, 0.3155, 0.0470)  2 Nb 1.94-1.97
O (0.0624, 0.2335, 0.6284)  1 Se 1.75
O (0.0794, 0.7538, 0.6683)  1 Se 1.72
O (0.1684, 0.9194, 0.2345)  1 Nb 1.81
O (0.1835, 0.0842, 0.8737)  1 Se 1.73
O (0.3232, 0.7105, 0.0692)  1 Se 1.76
O (0.3793, 0.2227, 0.1252)  1 Se 1.75
O (0.4116, 0.0577, 0.7278)  1 Se 1.69

Properties
raw total energy	-180.19	eV per cell
energy relative to the elements, uncorrected	-1.3983	eV/atom
crystal system	monoclinic


9.
DFT (GGA-PBEsol) results for a relaxed Pr3NbCl3O6 crystal.

abc: 9.3922 9.3922 5.2778
angles: 90.00 90.00 120.00
With the nearest neighbours (Å) after each atom.
Space group P6_3/m (No. 176)
Asymmetric unit:
Pr (0.0919, 0.4017, 0.2500)  6 O 2.42-2.59
Nb (0.3333, 0.6667, 0.7500)  6 O 2.00
Cl (0.0522, 0.2390, 0.7500)  4 Pr 2.96-3.01, 4 O 3.05
O (0.1565, 0.6383, 0.5098)  1 Nb 2.00

Properties
raw total energy	-200.21	eV per cell
energy relative to the elements, uncorrected	-2.7853	eV/atom
crystal system	hexagonal